Model i:
## TmPuAu2 (GGA-PBE)

Data for TmPuAu2 after structural relaxation.

Geometry as POSCAR:
```
TmPuAu2
1.0
0.000 3.603 3.603
3.603 0.000 3.603
3.603 3.603 0.000
Tm Pu Au
1 1 2
Direct
0.000 0.000 0.000 Tm
0.500 0.500 0.500 Pu
0.250 0.250 0.250 Au
0.750 0.750 0.750 Au
```

=====

Model ii:
## TmPuAu2 (GGA-PBE)

Data for TmPuAu2 after structural relaxation.

Geometry as POSCAR:
```
TmPuAu2
1.0
3.541 0.000 0.000
0.000 3.541 0.000
0.000 0.000 7.390
Tm Pu Au
1 1 2
Direct
0.000 0.000 0.000 Tm
0.000 0.000 0.500 Pu
0.500 0.500 0.228 Au
0.500 0.500 0.772 Au
```

=====

Model iii:
## TmPuAu2 (GGA-PBE)

Data for TmPuAu2 after structural relaxation.

Geometry as POSCAR:
```
TmPuAu2
1.0
2.026 1.170 7.391
-2.026 1.170 7.391
0.000 -2.339 7.391
Tm Pu Au
1 1 2
Direct
0.000 0.000 0.000 Tm
0.500 0.500 0.500 Pu
0.255 0.255 0.255 Au
0.745 0.745 0.745 Au
```

=====

In order of decreasing stability: model ii, model i, model iii.

=====

Model i:
## Pu2ZnAu3 (GGA-PBE)

Data for Pu2ZnAu3 after structural relaxation.

Geometry as POSCAR:
```
Pu2ZnAu3
1.0
0.000 4.837 8.401
3.098 0.000 8.401
3.098 4.837 0.000
Pu Zn Au
4 2 6
Direct
0.244 0.756 0.756 Pu
0.250 0.250 0.250 Pu
0.750 0.750 0.750 Pu
0.756 0.244 0.244 Pu
0.333 0.333 0.667 Zn
0.667 0.667 0.333 Zn
0.171 0.171 0.829 Au
0.173 0.655 0.345 Au
0.345 0.827 0.173 Au
0.655 0.173 0.827 Au
0.827 0.345 0.655 Au
0.829 0.829 0.171 Au
```

=====

Model ii:
## Pu2ZnAu3 (GGA-PBE)

Data for Pu2ZnAu3 after structural relaxation.

Geometry as POSCAR:
```
Pu2ZnAu3
1.0
-1.568 2.643 8.355
1.568 -2.643 8.355
1.568 2.643 -8.355
Pu Zn Au
2 1 3
Direct
0.161 0.161 0.000 Pu
0.839 0.839 0.000 Pu
0.500 0.500 0.000 Zn
0.000 0.500 0.500 Au
0.342 0.342 0.000 Au
0.658 0.658 0.000 Au
```

=====

In order of decreasing stability: model i, model ii.

=====

Model i:
## PuZn6Au4 (GGA-PBE)

Data for PuZn6Au4 after structural relaxation.

Geometry as POSCAR:
```
PuZn6Au4
1.0
-3.414 3.414 4.819
3.414 -3.414 4.819
3.414 3.414 -4.819
Pu Zn Au
1 6 4
Direct
0.000 0.000 0.000 Pu
0.000 0.500 0.500 Zn
0.130 0.474 0.000 Zn
0.474 0.130 0.000 Zn
0.500 0.000 0.500 Zn
0.526 0.526 0.656 Zn
0.870 0.870 0.344 Zn
0.230 0.230 0.625 Au
0.395 0.770 0.000 Au
0.605 0.605 0.375 Au
0.770 0.395 0.000 Au
```

=====

Model ii:
## PuZn6Au4 (GGA-PBE)

Data for PuZn6Au4 after structural relaxation.

Geometry as POSCAR:
```
PuZn6Au4
1.0
7.516 0.000 0.000
-3.758 6.509 0.000
0.000 0.000 4.141
Pu Zn Au
1 6 4
Direct
0.000 0.000 0.000 Pu
0.204 0.408 0.500 Zn
0.204 0.796 0.500 Zn
0.537 0.074 0.000 Zn
0.537 0.463 0.000 Zn
0.592 0.796 0.500 Zn
0.926 0.463 0.000 Zn
0.333 0.667 0.000 Au
0.389 0.195 0.500 Au
0.805 0.195 0.500 Au
0.805 0.611 0.500 Au
```

=====

In order of decreasing stability: model ii, model i.